No. 1
# CaRu3

A relaxed structure of CaRu3 (PBE, Alexandria).

The total magnetic moment is 6.00 μB per formula unit. The formation energy comes out at 310.83 kJ/mol of atoms. The calculation puts the total energy at -16.9 eV for the cell shown.

Lattice parameters (Å, degrees): 4.928 4.928 4.928 90.00 90.00 90.00
Atoms (fractional coordinates):
Ru (0.500, 0.000, 0.000)
Ru (0.000, 0.500, 0.000)
Ru (0.000, 0.000, 0.500)
Ca (0.000, 0.000, 0.000)



No. 2
# Si2WSe

A relaxed structure of Si2WSe (PBE, Alexandria).

The total magnetic moment is 0.00 μB per formula unit. The value obtained for the uncorrected formation energy is 87.2 meV/atom. The calculation puts the total energy at -107.7 eV for the cell shown.

Lattice parameters (Å, degrees): 7.506 5.381 8.631 90.00 122.08 90.00
Atoms (fractional coordinates):
Si (0.720, 0.000, 0.657)
Si (0.720, 0.500, 0.157)
Si (0.931, 0.000, 0.044)
Si (0.931, 0.500, 0.544)
Si (0.576, 0.000, 0.098)
Si (0.576, 0.500, 0.598)
Si (0.274, 0.000, 0.331)
Si (0.274, 0.500, 0.831)
W (0.586, 0.754, 0.352)
W (0.586, 0.246, 0.352)
W (0.586, 0.254, 0.852)
W (0.586, 0.746, 0.852)
Se (0.263, 0.000, 0.607)
Se (0.263, 0.500, 0.107)
Se (0.080, 0.000, 0.862)
Se (0.080, 0.500, 0.362)



No. 3
# ReTe2Rh

A relaxed structure of ReTe2Rh (PBE, Alexandria).

The total magnetic moment is 0.74 μB per formula unit. The value obtained for the uncorrected formation energy is 1017.7 meV/atom. The calculation puts the total energy at -22.0 eV for the cell shown. The offset from the most stable computed form is 840 meV/atom.

Lattice parameters (Å, degrees): 4.801 4.801 4.801 60.00 60.00 60.00
Atoms (fractional coordinates):
Re (0.500, 0.500, 0.500)
Te (0.000, 0.000, 0.000)
Te (0.750, 0.750, 0.750)
Rh (0.250, 0.250, 0.250)



No. 4
# Tl2InGaBi2

A relaxed structure of Tl2InGaBi2 (PBE, Alexandria).

The total magnetic moment is 0.00 μB per formula unit. The formation energy comes out at 1.62 kJ/mol of atoms. The calculation puts the total energy at -36.3 eV for the cell shown.

Lattice parameters (Å, degrees): 7.297 7.262 9.042 113.67 113.80 90.00
Atoms (fractional coordinates):
Tl (0.401, 0.162, 0.324)
Tl (0.599, 0.838, 0.676)
Tl (0.077, 0.338, 0.676)
Tl (0.923, 0.662, 0.324)
In (0.000, 0.750, 0.000)
In (0.000, 0.250, 0.000)
Ga (0.500, 0.750, 0.000)
Ga (0.500, 0.250, 0.000)
Bi (0.836, 0.113, 0.225)
Bi (0.390, 0.613, 0.225)
Bi (0.610, 0.387, 0.775)
Bi (0.164, 0.887, 0.775)



No. 5
# MgBSe3

A relaxed structure of MgBSe3 (PBE, Alexandria).

The total magnetic moment is 0.00 μB per formula unit. The value obtained for the uncorrected formation energy is 318.3 meV/atom. The calculation puts the total energy at -17.1 eV for the cell shown. The offset from the most stable computed form is 0 meV/atom.

Lattice parameters (Å, degrees): 4.541 4.541 4.541 90.00 90.00 90.00
Atoms (fractional coordinates):
Mg (0.500, 0.500, 0.500)
B (0.000, 0.000, 0.000)
Se (0.000, 0.500, 0.000)
Se (0.000, 0.000, 0.500)
Se (0.500, 0.000, 0.000)



No. 6
# AlGaSnBi

A relaxed structure of AlGaSnBi (PBE, Alexandria).

The total magnetic moment is 0.00 μB per formula unit. The formation energy comes out at 18.59 kJ/mol of atoms. The calculation puts the total energy at -13.9 eV for the cell shown.

Lattice parameters (Å, degrees): 5.193 5.193 5.193 60.00 60.00 60.00
Atoms (fractional coordinates):
Al (0.000, 0.000, 0.000)
Bi (0.750, 0.750, 0.750)
Ga (0.500, 0.500, 0.500)
Sn (0.250, 0.250, 0.250)



No. 7
# Fe3Ag

A relaxed structure of Fe3Ag (PBE, Alexandria).

The total magnetic moment is 7.83 μB per formula unit. The formation energy comes out at 30.34 kJ/mol of atoms. The calculation puts the total energy at -27.0 eV for the cell shown.

Lattice parameters (Å, degrees): 9.051 9.051 9.051 16.83 16.83 16.83
Atoms (fractional coordinates):
Ag (0.000, 0.000, 0.000)
Fe (0.245, 0.245, 0.245)
Fe (0.500, 0.500, 0.500)
Fe (0.755, 0.755, 0.755)



No. 8
# Hg2SbIBr

A relaxed structure of Hg2SbIBr (PBE, Alexandria).

The total magnetic moment is 0.00 μB per formula unit. The value obtained for the uncorrected formation energy is -100.5 meV/atom. The calculation puts the total energy at -8.5 eV for the cell shown.

Lattice parameters (Å, degrees): 5.753 5.753 5.435 90.00 90.00 90.00
Atoms (fractional coordinates):
I (0.500, 0.500, 0.500)
Sb (0.000, 0.000, 0.000)
Hg (0.000, 0.500, 0.000)
Hg (0.500, 0.000, 0.000)
Br (0.000, 0.000, 0.500)



No. 9
# NaAgSbPd

A relaxed structure of NaAgSbPd (PBE, Alexandria).

The total magnetic moment is 0.00 μB per formula unit. The value obtained for the uncorrected formation energy is -236.2 meV/atom. The calculation puts the total energy at -14.4 eV for the cell shown. The offset from the most stable computed form is 19 meV/atom.

Lattice parameters (Å, degrees): 4.785 4.785 4.785 60.00 60.00 60.00
Atoms (fractional coordinates):
Sb (0.500, 0.500, 0.500)
Pd (0.750, 0.750, 0.750)
Ag (0.250, 0.250, 0.250)
Na (0.000, 0.000, 0.000)



No. 10
# Er2Tm6Zn

A relaxed structure of Er2Tm6Zn (PBE, Alexandria).

The total magnetic moment is 0.00 μB per formula unit. The formation energy comes out at 3.02 kJ/mol of atoms. The calculation puts the total energy at -73.9 eV for the cell shown.

Lattice parameters (Å, degrees): 5.235 9.860 9.942 90.00 89.99 90.00
Atoms (fractional coordinates):
Er (0.000, 0.289, 0.779)
Er (0.500, 0.789, 0.721)
Er (0.500, 0.211, 0.279)
Er (0.000, 0.711, 0.221)
Tm (0.000, 0.037, 0.183)
Tm (0.000, 0.683, 0.547)
Tm (0.000, 0.625, 0.881)
Tm (0.500, 0.125, 0.619)
Tm (0.500, 0.183, 0.953)
Tm (0.500, 0.537, 0.317)
Tm (0.000, 0.963, 0.817)
Tm (0.000, 0.317, 0.453)
Tm (0.000, 0.375, 0.119)
Tm (0.500, 0.875, 0.381)
Tm (0.500, 0.817, 0.047)
Tm (0.500, 0.463, 0.683)
Zn (0.500, 0.500, 0.000)
Zn (0.000, 0.000, 0.500)



No. 11
# BaCr2Br

A relaxed structure of BaCr2Br (PBE, Alexandria).

The total magnetic moment is 10.42 μB per formula unit. The value obtained for the uncorrected formation energy is 551.5 meV/atom. The calculation puts the total energy at -20.6 eV for the cell shown. The offset from the most stable computed form is 446 meV/atom.

Lattice parameters (Å, degrees): 5.595 5.595 5.595 120.04 120.04 89.92
Atoms (fractional coordinates):
Ba (0.500, 0.500, 0.000)
Br (0.750, 0.250, 0.500)
Cr (0.000, 0.000, 0.000)
Cr (0.250, 0.750, 0.500)



No. 12
# TlZnF3

A relaxed structure of TlZnF3 (PBE, Alexandria).

The total magnetic moment is 0.00 μB per formula unit. The value obtained for the uncorrected formation energy is -2038.7 meV/atom. The calculation puts the total energy at -38.9 eV for the cell shown.

Lattice parameters (Å, degrees): 3.490 7.234 8.239 90.00 114.89 90.00
Atoms (fractional coordinates):
Tl (0.613, 0.250, 0.863)
Tl (0.387, 0.750, 0.137)
Zn (0.095, 0.250, 0.346)
Zn (0.905, 0.750, 0.654)
F (0.937, 0.043, 0.187)
F (0.063, 0.957, 0.813)
F (0.937, 0.457, 0.187)
F (0.063, 0.543, 0.813)
F (0.721, 0.250, 0.473)
F (0.279, 0.750, 0.527)



No. 13
# ZrTa2As2

A relaxed structure of ZrTa2As2 (PBE, Alexandria).

The total magnetic moment is 0.00 μB per formula unit. The formation energy comes out at -42.35 kJ/mol of atoms. The calculation puts the total energy at -87.5 eV for the cell shown.

Lattice parameters (Å, degrees): 7.234 7.234 3.415 90.00 90.00 90.00
Atoms (fractional coordinates):
As (0.353, 0.853, 0.000)
As (0.853, 0.647, 0.000)
As (0.647, 0.147, 0.000)
As (0.147, 0.353, 0.000)
Zr (0.000, 0.000, 0.000)
Zr (0.500, 0.500, 0.000)
Ta (0.145, 0.645, 0.500)
Ta (0.645, 0.855, 0.500)
Ta (0.855, 0.355, 0.500)
Ta (0.355, 0.145, 0.500)



No. 14
# CuRhS2

A relaxed structure of CuRhS2 (PBE, Alexandria).

The total magnetic moment is 0.00 μB per formula unit. The value obtained for the uncorrected formation energy is -202.3 meV/atom. The calculation puts the total energy at -41.0 eV for the cell shown.

Lattice parameters (Å, degrees): 5.293 5.293 6.420 65.66 65.66 90.00
Atoms (fractional coordinates):
S (0.625, 0.125, 0.250)
S (0.125, 0.625, 0.250)
S (0.375, 0.375, 0.750)
S (0.875, 0.875, 0.750)
Rh (0.000, 0.000, 0.000)
Rh (0.750, 0.250, 0.500)
Cu (0.500, 0.500, 0.000)
Cu (0.250, 0.750, 0.500)



No. 15
# Al2SiBr

A relaxed structure of Al2SiBr (PBE, Alexandria).

The total magnetic moment is 0.00 μB per formula unit. The value obtained for the uncorrected formation energy is 192.1 meV/atom. The calculation puts the total energy at -13.8 eV for the cell shown. The offset from the most stable computed form is 229 meV/atom.

Lattice parameters (Å, degrees): 3.309 3.309 7.281 90.00 90.00 99.70
Atoms (fractional coordinates):
Si (0.500, 0.500, 0.750)
Al (0.000, 0.000, 0.954)
Al (0.000, 0.000, 0.546)
Br (0.500, 0.500, 0.250)



No. 16
# Ce3Mg2Tl4

A relaxed structure of Ce3Mg2Tl4 (PBE, Alexandria).

The total magnetic moment is 3.06 μB per formula unit. The formation energy comes out at -18.52 kJ/mol of atoms. The calculation puts the total energy at -32.2 eV for the cell shown.

Lattice parameters (Å, degrees): 5.037 6.402 9.736 119.74 90.00 113.17
Atoms (fractional coordinates):
Ce (0.626, 0.252, 0.650)
Ce (0.000, 0.000, 0.000)
Ce (0.374, 0.748, 0.350)
Mg (0.641, 0.282, 0.296)
Mg (0.359, 0.718, 0.704)
Tl (0.696, 0.391, 0.037)
Tl (0.304, 0.609, 0.963)
Tl (0.925, 0.851, 0.616)
Tl (0.075, 0.149, 0.384)



No. 17
# SrCoPt3

A relaxed structure of SrCoPt3 (PBE, Alexandria).

The total magnetic moment is 2.26 μB per formula unit. The formation energy comes out at 192.49 kJ/mol of atoms. The calculation puts the total energy at -16.9 eV for the cell shown. The offset from the most stable computed form is 1966 meV/atom.

Lattice parameters (Å, degrees): 5.167 5.167 5.167 90.00 90.00 90.00
Atoms (fractional coordinates):
Sr (0.000, 0.000, 0.000)
Co (0.500, 0.500, 0.500)
Pt (0.000, 0.500, 0.000)
Pt (0.000, 0.000, 0.500)
Pt (0.500, 0.000, 0.000)



No. 18
# MnRe2

A relaxed structure of MnRe2 (PBE, Alexandria).

The total magnetic moment is 2.72 μB per formula unit. The formation energy comes out at 8.56 kJ/mol of atoms. The calculation puts the total energy at -33.8 eV for the cell shown.

Lattice parameters (Å, degrees): 2.641 4.329 4.329 120.00 90.00 90.00
Atoms (fractional coordinates):
Mn (0.000, 0.000, 0.000)
Re (0.338, 0.333, 0.667)
Re (0.662, 0.667, 0.333)



No. 19
# PmZn2Co

A relaxed structure of PmZn2Co (PBE, Alexandria).

The total magnetic moment is 0.00 μB per formula unit. The formation energy comes out at -23.66 kJ/mol of atoms. The calculation puts the total energy at -30.8 eV for the cell shown. The offset from the most stable computed form is 0 meV/atom.

Lattice parameters (Å, degrees): 4.048 5.239 7.281 90.00 90.00 112.72
Atoms (fractional coordinates):
Pm (0.938, 0.876, 0.250)
Pm (0.062, 0.124, 0.750)
Zn (0.345, 0.690, 0.556)
Zn (0.655, 0.310, 0.444)
Zn (0.655, 0.310, 0.056)
Zn (0.345, 0.690, 0.944)
Co (0.215, 0.430, 0.250)
Co (0.785, 0.570, 0.750)